Material: CaMg6CoO8
Method: DFT, PBE with a Hubbard U
State: optimized geometry

DOS at the Fermi energy (states/eV per cell): 4.8
Space group: P4/mmm, No. 123
Electronic total energy (eV/cell): -95.00
Polymorph energy (0 for the lowest one) (kJ/mol of formula units): 6
Size of the total moment (μB/cell): 3.0

a b c (Å): 4.377 4.377 8.624
angles (deg): 90.00 90.00 90.00
Each line ends with the local moment (μB).
Element x y z (fractional)
O: 0.500 0.500 0.251  0.00
O: 0.000 0.500 0.500  0.08
O: 0.500 0.000 0.000  0.00
O: 0.500 0.500 0.749  0.00
O: 0.000 0.000 0.736  0.05
O: 0.000 0.000 0.264  0.05
O: 0.000 0.500 0.000  0.00
O: 0.500 0.000 0.500  0.08
Mg: 0.500 0.000 0.742  0.00
Mg: 0.500 0.500 0.000  0.00
Mg: 0.500 0.500 0.500  0.00
Mg: 0.000 0.500 0.742  0.00
Mg: 0.500 0.000 0.258  0.00
Mg: 0.000 0.500 0.258  0.00
Ca: 0.000 0.000 0.000  0.01
Co: 0.000 0.000 0.500  2.69

***

Material: CaMg6CoO8
Method: DFT, PBE with a Hubbard U
State: optimized geometry

DOS at the Fermi energy (states/eV per cell): 3.9
Space group: P4/mmm, No. 123
Electronic total energy (eV/cell): -95.06
Polymorph energy (0 for the lowest one) (kJ/mol of formula units): 0
Size of the total moment (μB/cell): 3.0

a b c (Å): 4.364 4.364 8.644
angles (deg): 90.00 90.00 90.00
Each line ends with the local moment (μB).
Element x y z (fractional)
Ca: 0.000 0.000 0.000  -0.01
Co: 0.500 0.500 0.000  2.69
O: 0.500 0.500 0.252  0.05
O: 0.500 0.000 0.000  0.09
O: 0.500 0.500 0.748  0.05
O: 0.000 0.500 0.000  0.09
O: 0.500 0.000 0.500  0.00
O: 0.000 0.000 0.265  0.00
O: 0.000 0.500 0.500  0.00
O: 0.000 0.000 0.735  0.00
Mg: 0.000 0.500 0.745  0.00
Mg: 0.000 0.000 0.500  0.00
Mg: 0.500 0.000 0.745  0.00
Mg: 0.500 0.500 0.500  0.00
Mg: 0.000 0.500 0.255  0.00
Mg: 0.500 0.000 0.255  0.00

***

Material: CaMg14CoO16
Method: DFT, PBE with a Hubbard U
State: optimized geometry

DOS at the Fermi energy (states/eV per cell): 0.0
Space group: P4/mmm, No. 123
Electronic total energy (eV/cell): -191.41
Size of the total moment (μB/cell): 3.0

a b c (Å): 8.581 8.581 4.335
angles (deg): 90.00 90.00 90.00
Each line ends with the local moment (μB).
Element x y z (fractional)
O: 0.251 0.500 0.000  0.05
O: 0.000 0.736 0.000  0.00
O: 0.264 0.000 0.000  0.00
O: 0.250 0.750 0.500  0.00
O: 0.750 0.250 0.500  0.00
O: 0.000 0.264 0.000  0.00
O: 0.500 0.749 0.000  0.05
O: 0.500 0.251 0.000  0.05
O: 0.000 0.500 0.500  0.00
O: 0.736 0.000 0.000  0.00
O: 0.500 0.500 0.500  0.05
O: 0.750 0.750 0.500  0.00
O: 0.500 0.000 0.500  0.00
O: 0.250 0.250 0.500  0.00
O: 0.000 0.000 0.500  0.00
O: 0.749 0.500 0.000  0.05
Mg: 0.253 0.253 0.000  0.00
Mg: 0.000 0.744 0.500  0.00
Mg: 0.253 0.500 0.500  0.00
Mg: 0.256 0.000 0.500  0.00
Mg: 0.744 0.000 0.500  0.00
Mg: 0.747 0.253 0.000  0.00
Mg: 0.253 0.747 0.000  0.00
Mg: 0.747 0.747 0.000  0.00
Mg: 0.500 0.747 0.500  0.00
Mg: 0.500 0.253 0.500  0.00
Mg: 0.000 0.256 0.500  0.00
Mg: 0.747 0.500 0.500  0.00
Mg: 0.500 0.000 0.000  0.00
Mg: 0.000 0.500 0.000  0.00
Co: 0.500 0.500 0.000  2.69
Ca: 0.000 0.000 0.000  0.00

***

Material: CaMg14CoO16
Method: DFT, PBE with a Hubbard U
State: optimized geometry

DOS at the Fermi energy (states/eV per cell): 0.0
Space group: Pmmm, No. 47
Electronic total energy (eV/cell): -191.44
Size of the total moment (μB/cell): 2.9

a b c (Å): 4.318 8.568 8.632
angles (deg): 90.00 90.00 90.00
Each line ends with the local moment (μB).
Element x y z (fractional)
Mg: 0.500 0.251 0.500  0.00
Mg: 0.500 0.500 0.749  0.00
Mg: 0.000 0.255 0.254  0.00
Mg: 0.500 0.749 0.500  0.00
Mg: 0.500 0.000 0.256  0.00
Mg: 0.500 0.256 0.000  0.00
Mg: 0.000 0.000 0.500  0.00
Mg: 0.000 0.745 0.746  0.00
Mg: 0.000 0.745 0.254  0.00
Mg: 0.500 0.744 0.000  0.00
Mg: 0.000 0.500 0.500  0.00
Mg: 0.500 0.000 0.744  0.00
Mg: 0.500 0.500 0.251  0.00
Mg: 0.000 0.255 0.746  0.00
O: 0.500 0.000 0.000  0.00
O: 0.000 0.000 0.737  0.00
O: 0.500 0.750 0.249  0.00
O: 0.500 0.000 0.500  0.00
O: 0.000 0.264 0.000  0.04
O: 0.000 0.749 0.500  0.00
O: 0.500 0.500 0.500  0.00
O: 0.500 0.250 0.751  0.00
O: 0.500 0.500 0.000  0.07
O: 0.000 0.000 0.263  0.00
O: 0.000 0.500 0.259  0.03
O: 0.500 0.750 0.751  0.00
O: 0.000 0.500 0.741  0.03
O: 0.000 0.736 0.000  0.04
O: 0.000 0.251 0.500  0.00
O: 0.500 0.250 0.249  0.00
Ca: 0.000 0.000 0.000  0.01
Co: 0.000 0.500 0.000  2.65

***

Material: CaMg30CoO32
Method: DFT, PBE with a Hubbard U
State: optimized geometry

DOS at the Fermi energy (states/eV per cell): 6.8
Space group: P4/mmm, No. 123
Electronic total energy (eV/cell): -382.41
Size of the total moment (μB/cell): 3.0

a b c (Å): 8.544 8.566 8.566
angles (deg): 90.00 90.00 90.00
Each line ends with the local moment (μB).
Element x y z (fractional)
O: 0.250 0.250 0.250  0.00
O: 0.500 0.256 0.000  0.04
O: 0.000 0.500 0.252  0.00
O: 0.000 0.500 0.748  0.00
O: 0.500 0.251 0.500  0.00
O: 0.500 0.744 0.000  0.04
O: 0.750 0.250 0.250  0.00
O: 0.000 0.262 0.000  0.00
O: 0.500 0.000 0.744  0.04
O: 0.500 0.500 0.749  0.00
O: 0.252 0.000 0.500  0.00
O: 0.500 0.500 0.251  0.00
O: 0.250 0.500 0.500  0.00
O: 0.000 0.252 0.500  0.00
O: 0.250 0.750 0.750  0.00
O: 0.250 0.250 0.750  0.00
O: 0.500 0.749 0.500  0.00
O: 0.748 0.500 0.000  0.00
O: 0.737 0.000 0.000  0.06
O: 0.750 0.750 0.250  0.00
O: 0.252 0.500 0.000  0.00
O: 0.750 0.250 0.750  0.00
O: 0.748 0.000 0.500  0.00
O: 0.750 0.750 0.750  0.00
O: 0.750 0.500 0.500  0.00
O: 0.000 0.000 0.738  0.00
O: 0.500 0.000 0.256  0.04
O: 0.000 0.738 0.000  0.00
O: 0.000 0.748 0.500  0.00
O: 0.250 0.750 0.250  0.00
O: 0.000 0.000 0.262  0.00
O: 0.263 0.000 0.000  0.06
Mg: 0.500 0.000 0.500  0.00
Mg: 0.000 0.253 0.253  0.00
Mg: 0.500 0.500 0.500  0.00
Mg: 0.251 0.750 0.500  0.00
Mg: 0.000 0.747 0.747  0.00
Mg: 0.000 0.253 0.747  0.00
Mg: 0.749 0.500 0.750  0.00
Mg: 0.746 0.000 0.747  0.00
Mg: 0.251 0.500 0.250  0.00
Mg: 0.749 0.500 0.250  0.00
Mg: 0.254 0.000 0.253  0.00
Mg: 0.251 0.250 0.500  0.00
Mg: 0.749 0.750 0.500  0.00
Mg: 0.500 0.250 0.250  0.00
Mg: 0.000 0.000 0.500  0.00
Mg: 0.000 0.747 0.253  0.00
Mg: 0.254 0.747 0.000  0.00
Mg: 0.746 0.253 0.000  0.00
Mg: 0.500 0.750 0.250  0.00
Mg: 0.746 0.000 0.253  0.00
Mg: 0.500 0.750 0.750  0.00
Mg: 0.000 0.500 0.000  0.00
Mg: 0.251 0.500 0.750  0.00
Mg: 0.746 0.747 0.000  0.00
Mg: 0.254 0.253 0.000  0.00
Mg: 0.749 0.250 0.500  0.00
Mg: 0.254 0.000 0.747  0.00
Mg: 0.000 0.500 0.500  0.00
Mg: 0.500 0.500 0.000  0.00
Mg: 0.500 0.250 0.750  0.00
Ca: 0.000 0.000 0.000  0.01
Co: 0.500 0.000 0.000  2.66